1.
A plane-wave DFT calculation with PBE was carried out for a relaxed structure of ZnAgAs2.

```
ZnAgAs2
1.0
4.724 0.000 0.000
2.362 4.091 0.000
2.362 1.364 3.857
Ag As Zn
1 2 1
direct
0.500 0.500 0.500 Ag
0.000 0.000 0.000 As
0.750 0.750 0.750 As
0.250 0.250 0.250 Zn
```

Space group: F-43m (216)
Electronic total energy in eV for the cell shown: -12.17
N(E_F) in states/eV/cell: 0.79

2.
A plane-wave DFT calculation with PBE was carried out for a relaxed structure of TaCdN2F.

```
TaCdN2F
1.0
4.109 0.000 0.000
0.000 4.109 0.000
0.000 0.000 4.050
N F Cd Ta
2 1 1 1
direct
0.000 0.500 0.000 N
0.500 0.000 0.000 N
0.000 0.000 0.500 F
0.500 0.500 0.500 Cd
0.000 0.000 0.000 Ta
```

Space group: P4/mmm (123)
Offset from the most stable computed form in eV/f.u.: 0.00
Formation energy without anion corrections in eV/f.u.: -3.269
N(E_F) in states/eV/cell: 1.20

3.
A plane-wave DFT calculation with PBE was carried out for a relaxed structure of ThFe13.

```
ThFe13
1.0
-8.094 -0.611 -0.182
-3.662 -3.550 -6.317
-3.545 -7.247 0.910
Th Fe
2 26
direct
0.750 0.750 0.750 Th
0.250 0.250 0.250 Th
0.436 0.564 0.203 Fe
0.203 0.797 0.436 Fe
0.797 0.203 0.564 Fe
0.564 0.436 0.797 Fe
0.564 0.797 0.203 Fe
0.797 0.564 0.436 Fe
0.203 0.436 0.564 Fe
0.436 0.203 0.797 Fe
0.797 0.436 0.203 Fe
0.564 0.203 0.436 Fe
0.436 0.797 0.564 Fe
0.203 0.564 0.797 Fe
0.297 0.936 0.064 Fe
0.064 0.703 0.297 Fe
0.936 0.297 0.703 Fe
0.703 0.064 0.936 Fe
0.297 0.703 0.936 Fe
0.064 0.936 0.703 Fe
0.936 0.064 0.297 Fe
0.703 0.297 0.064 Fe
0.297 0.064 0.703 Fe
0.064 0.297 0.936 Fe
0.936 0.703 0.064 Fe
0.703 0.936 0.297 Fe
0.500 0.500 0.500 Fe
0.000 0.000 0.000 Fe
```

Space group: Fm-3c (226)
Electronic total energy in eV for the cell shown: -234.62
N(E_F) in states/eV/cell: 19.27

4.
A plane-wave DFT calculation with PBE was carried out for a relaxed structure of CrB2Pd.

```
CrB2Pd
1.0
5.587 0.000 0.000
0.000 5.587 0.000
2.794 2.794 2.731
Cr B Pd
2 4 2
direct
0.500 0.500 0.000 Cr
0.250 0.750 0.500 Cr
0.611 0.125 0.250 B
0.139 0.625 0.250 B
0.375 0.389 0.750 B
0.875 0.861 0.750 B
0.000 0.000 0.000 Pd
0.750 0.250 0.500 Pd
```

Space group: I-42d (122)
Offset from the most stable computed form in eV/f.u.: 0.29
N(E_F) in states/eV/cell: 6.92

5.
A plane-wave DFT calculation with PBE was carried out for a relaxed structure of AlSiRh4.

```
AlSiRh4
1.0
-0.635 3.568 -1.821
-2.885 0.356 -2.813
-5.426 2.891 3.041
Al Si Rh
1 1 4
direct
0.500 0.500 0.500 Al
0.000 0.000 0.000 Si
0.628 0.630 0.113 Rh
0.372 0.370 0.887 Rh
0.122 0.124 0.631 Rh
0.878 0.876 0.369 Rh
```

Space group: C2/m (12)
Offset from the most stable computed form in eV/f.u.: 0.00
Formation energy without anion corrections in eV/f.u.: -3.149
N(E_F) in states/eV/cell: 5.20

6.
A plane-wave DFT calculation with PBE was carried out for a relaxed structure of Rb2PbAuI5.

```
Rb2PbAuI5
1.0
4.740 0.000 0.000
-2.370 10.789 0.000
0.000 0.000 15.401
Rb Pb Au I
4 2 2 10
direct
0.879 0.759 0.835 Rb
0.124 0.247 0.703 Rb
0.121 0.241 0.335 Rb
0.876 0.753 0.203 Rb
0.799 0.598 0.517 Pb
0.201 0.402 0.017 Pb
0.529 0.059 0.933 Au
0.471 0.941 0.433 Au
0.347 0.695 0.019 I
0.703 0.407 0.869 I
0.499 0.998 0.761 I
0.300 0.600 0.663 I
0.958 0.916 0.524 I
0.653 0.305 0.519 I
0.297 0.593 0.369 I
0.501 0.002 0.261 I
0.700 0.400 0.163 I
0.042 0.084 0.024 I
```

Space group: Cmc2_1 (36)
Formation energy without anion corrections in eV/f.u.: -7.992
N(E_F) in states/eV/cell: 0.00

7.
A plane-wave DFT calculation with PBE was carried out for a relaxed structure of TiZnAu4.

```
TiZnAu4
1.0
-2.243 0.022 2.616
1.740 -2.759 3.785
0.282 6.566 2.457
Ti Zn Au
1 1 4
direct
0.000 0.000 0.000 Ti
0.500 0.500 0.500 Zn
0.833 0.501 0.833 Au
0.322 0.024 0.331 Au
0.167 0.499 0.167 Au
0.678 0.976 0.669 Au
```

Space group: C2/m (12)
Offset from the most stable computed form in eV/f.u.: 0.00
N(E_F) in states/eV/cell: 2.31

8.
A plane-wave DFT calculation with PBE was carried out for a relaxed structure of LiTlFe2.

```
LiTlFe2
1.0
-3.583 2.483 0.156
-3.573 -1.186 -2.204
-3.532 -1.395 2.153
Fe Li Tl
2 1 1
direct
0.000 0.000 0.000 Fe
0.750 0.750 0.750 Fe
0.500 0.500 0.500 Li
0.250 0.250 0.250 Tl
```

Space group: F-43m (216)
Electronic total energy in eV for the cell shown: -20.02
N(E_F) in states/eV/cell: 2.43

9.
A plane-wave DFT calculation with PBE was carried out for a relaxed structure of Ac3Tc2N7.

```
Ac3Tc2N7
1.0
3.918 0.000 0.000
0.000 4.023 0.000
0.000 -2.012 11.066
Ac Tc N
3 2 7
direct
0.500 0.500 0.000 Ac
0.500 0.676 0.352 Ac
0.500 0.324 0.648 Ac
0.000 0.907 0.815 Tc
0.000 0.093 0.185 Tc
0.000 0.408 0.815 N
0.000 0.813 0.626 N
0.000 0.000 0.000 N
0.000 0.592 0.185 N
0.500 0.094 0.189 N
0.500 0.906 0.811 N
0.000 0.187 0.374 N
```

Space group: Cmmm (65)
Formation energy without anion corrections in eV/f.u.: -6.668
N(E_F) in states/eV/cell: 4.48

10.
A plane-wave DFT calculation with PBE was carried out for a relaxed structure of LiCe2GaS5.

```
LiCe2GaS5
1.0
-3.763 -0.216 0.818
0.207 -1.523 -8.539
1.083 -11.200 2.024
Li Ce Ga S
2 4 2 10
direct
0.787 0.573 0.518 Li
0.213 0.427 0.018 Li
0.865 0.731 0.807 Ce
0.123 0.245 0.682 Ce
0.135 0.269 0.307 Ce
0.877 0.755 0.182 Ce
0.566 0.131 0.953 Ga
0.434 0.869 0.453 Ga
0.358 0.716 0.000 S
0.685 0.370 0.857 S
0.499 0.998 0.778 S
0.292 0.585 0.668 S
0.956 0.912 0.562 S
0.642 0.284 0.500 S
0.315 0.630 0.357 S
0.501 0.002 0.278 S
0.708 0.415 0.168 S
0.044 0.088 0.062 S
```

Space group: Cmc2_1 (36)
Formation energy without anion corrections in eV/f.u.: -13.742
N(E_F) in states/eV/cell: 25.29

11.
A plane-wave DFT calculation with PBE was carried out for a relaxed structure of Ba2LiTbIrO6.

```
Ba2LiTbIrO6
1.0
5.643 -2.944 0.007
5.643 2.944 0.007
4.100 0.000 4.868
Ba Li Tb Ir O
2 1 1 1 6
direct
0.208 0.208 0.208 Ba
0.737 0.737 0.737 Ba
0.367 0.367 0.367 Li
0.519 0.519 0.519 Tb
0.003 0.003 0.003 Ir
0.246 0.246 0.753 O
0.770 0.244 0.770 O
0.246 0.753 0.246 O
0.753 0.246 0.246 O
0.770 0.770 0.244 O
0.244 0.770 0.770 O
```

Space group: R3m (160)
Offset from the most stable computed form in eV/f.u.: 0.64
Formation energy without anion corrections in eV/f.u.: -23.092
N(E_F) in states/eV/cell: 5.25

12.
A plane-wave DFT calculation with PBE was carried out for a relaxed structure of Pm2CdSe.

```
Pm2CdSe
1.0
3.716 0.000 0.000
0.000 3.716 0.000
0.000 0.000 7.532
Cd Se Pm
1 1 2
direct
0.500 0.500 0.500 Cd
0.500 0.500 0.000 Se
0.000 0.000 0.764 Pm
0.000 0.000 0.236 Pm
```

Space group: P4/mmm (123)
Offset from the most stable computed form in eV/f.u.: 0.57
Formation energy without anion corrections in eV/f.u.: -3.490
N(E_F) in states/eV/cell: 3.98

13.
A plane-wave DFT calculation with PBE was carried out for a relaxed structure of ZnSi2Cl.

```
ZnSi2Cl
1.0
-6.053 0.377 -3.634
-5.786 -3.200 -2.504
-7.046 -0.567 -0.132
Cl Si Zn
1 2 1
direct
0.769 0.769 0.769 Cl
0.965 0.965 0.965 Si
0.258 0.258 0.258 Si
0.508 0.508 0.508 Zn
```

Space group: R3m (160)
Offset from the most stable computed form in eV/f.u.: 0.00
Formation energy without anion corrections in eV/f.u.: -0.022
N(E_F) in states/eV/cell: 1.52

14.
A plane-wave DFT calculation with PBE was carried out for a relaxed structure of RbNaTi2Os.

```
RbNaTi2Os
1.0
4.773 0.000 0.000
0.000 6.648 0.000
0.000 0.000 4.773
Na Os Rb Ti
1 1 1 2
direct
0.500 0.500 0.500 Na
0.000 0.000 0.000 Os
0.000 0.500 0.000 Rb
0.000 0.000 0.500 Ti
0.500 0.000 0.000 Ti
```

Space group: P4/mmm (123)
Electronic total energy in eV for the cell shown: -25.37
N(E_F) in states/eV/cell: 4.59

15.
A plane-wave DFT calculation with PBE was carried out for a relaxed structure of Tb3Y6Sc.

```
Tb3Y6Sc
1.0
-5.177 5.401 -4.091
-3.650 -6.785 -4.339
-0.084 -2.496 5.698
Tb Y Sc
3 6 1
direct
0.781 0.266 0.563 Tb
0.219 0.734 0.437 Tb
0.000 0.000 0.000 Tb
0.302 0.356 0.236 Y
0.066 0.644 0.764 Y
0.698 0.644 0.764 Y
0.934 0.356 0.236 Y
0.382 0.134 0.764 Y
0.618 0.866 0.236 Y
0.500 0.500 0.000 Sc
```

Space group: C2/m (12)
Offset from the most stable computed form in eV/f.u.: 1.50
N(E_F) in states/eV/cell: 14.93

16.
A plane-wave DFT calculation with PBE was carried out for a relaxed structure of La2Nd2Te7.

```
La2Nd2Te7
1.0
-0.640 -7.998 0.604
6.186 -0.728 -3.082
3.620 0.378 7.177
La Nd Te
2 2 7
direct
0.735 0.000 0.265 La
0.265 0.000 0.735 La
0.725 0.500 0.725 Nd
0.275 0.500 0.275 Nd
0.000 0.259 0.500 Te
0.500 0.741 0.000 Te
0.000 0.741 0.500 Te
0.500 0.259 0.000 Te
0.000 0.000 0.000 Te
0.500 0.751 0.500 Te
0.500 0.249 0.500 Te
```

Space group: Cmmm (65)
Formation energy without anion corrections in eV/f.u.: -12.503
N(E_F) in states/eV/cell: 5.06

17.
A plane-wave DFT calculation with PBE was carried out for a relaxed structure of RbAlN2O.

```
RbAlN2O
1.0
4.207 0.000 0.000
0.000 4.207 0.000
0.000 0.000 3.818
O Al Rb N
1 1 1 2
direct
0.000 0.000 0.500 O
0.000 0.000 0.000 Al
0.500 0.500 0.500 Rb
0.000 0.500 0.000 N
0.500 0.000 0.000 N
```

Space group: P4/mmm (123)
Formation energy without anion corrections in eV/f.u.: 0.547
N(E_F) in states/eV/cell: 2.17

18.
A plane-wave DFT calculation with PBE was carried out for a relaxed structure of TaSb2Os.

```
TaSb2Os
1.0
-0.990 -6.024 2.664
-2.534 -5.578 -2.614
4.399 5.001 0.083
Os Sb Ta
1 2 1
direct
0.259 0.759 0.500 Os
0.044 0.044 0.000 Sb
0.770 0.270 0.500 Sb
0.427 0.427 0.000 Ta
```

Space group: Imm2 (44)
Offset from the most stable computed form in eV/f.u.: 1.27
Formation energy without anion corrections in eV/f.u.: 1.383
N(E_F) in states/eV/cell: 2.59

19.
A plane-wave DFT calculation with PBE was carried out for a relaxed structure of PrHfSc2.

```
PrHfSc2
1.0
3.330 0.000 0.000
1.665 2.884 0.000
1.665 0.961 10.852
Pr Sc Hf
1 2 1
direct
0.500 0.500 0.500 Pr
0.743 0.743 0.770 Sc
0.257 0.257 0.230 Sc
0.000 0.000 0.000 Hf
```

Space group: R-3m (166)
Offset from the most stable computed form in eV/f.u.: 0.00
N(E_F) in states/eV/cell: 5.98

20.
A plane-wave DFT calculation with PBE was carried out for a relaxed structure of Li3MgCd7.

```
Li3MgCd7
1.0
-4.975 2.131 0.635
1.009 -7.078 2.331
5.116 1.636 5.263
Li Mg Cd
3 1 7
direct
0.000 0.781 0.219 Li
0.500 0.000 0.000 Li
0.000 0.219 0.781 Li
0.500 0.500 0.500 Mg
0.317 0.190 0.190 Cd
0.330 0.061 0.594 Cd
0.670 0.406 0.939 Cd
0.330 0.594 0.061 Cd
0.000 0.500 0.500 Cd
0.670 0.939 0.406 Cd
0.683 0.810 0.810 Cd
```

Space group: C2/m (12)
Offset from the most stable computed form in eV/f.u.: 0.91
N(E_F) in states/eV/cell: 4.00